(1)
Material: Nd4Sn3Ge
Method: DFT, PBE-GGA
State: optimized geometry

Structure (POSCAR):
```
Nd4Sn3Ge
1.0
4.3195 0.0000 0.0000
0.0000 4.6371 0.0000
0.0000 0.0000 11.6074
Nd Sn Ge
4 3 1
Direct
0.0000 0.0000 0.0000
0.0000 0.5000 0.4879
0.5000 0.0000 0.7179
0.5000 0.5000 0.2221
0.0000 0.5000 0.7665
0.5000 0.0000 0.4370
0.5000 0.5000 0.9458
0.0000 0.0000 0.2664
```

Summary:
energy relative to the elements = -0.785 eV per atom
uncorrected energy = -5.25 eV per atom
density = 7.18 g/cm3

(2)
Material: Nd5SnGe2
Method: DFT, PBE-GGA
State: optimized geometry

Structure (POSCAR):
```
Nd5SnGe2
1.0
-4.0394 4.0394 7.1304
4.0394 -4.0394 7.1304
4.0394 4.0394 -7.1304
Nd Sn Ge
10 2 4
Direct
0.0000 0.0000 0.0000
0.0232 0.5232 0.8297
0.1935 0.0232 0.5000
0.3065 0.8065 0.8297
0.4768 0.3065 0.5000
0.5000 0.5000 0.0000
0.5232 0.6935 0.5000
0.6935 0.1935 0.1703
0.8065 0.9768 0.5000
0.9768 0.4768 0.1703
0.2500 0.2500 0.0000
0.7500 0.7500 0.0000
0.1355 0.3645 0.5000
0.3645 0.8645 0.2290
0.6355 0.1355 0.7710
0.8645 0.6355 0.5000
```

Summary:
energy relative to the elements = -0.708 eV per atom
uncorrected energy = -5.34 eV per atom
density = 7.03 g/cm3

(3)
Material: Nd2SnGe2
Method: DFT, PBE-GGA
State: optimized geometry

Structure (POSCAR):
```
Nd2SnGe2
1.0
-2.1952 3.2348 4.4393
2.1952 -3.2348 4.4393
2.1952 3.2348 -4.4393
Nd Sn Ge
2 1 2
Direct
0.2178 0.2178 0.0000
0.7822 0.7822 0.0000
0.5000 0.0000 0.5000
0.1974 0.5000 0.6974
0.8026 0.5000 0.3026
```

Summary:
energy relative to the elements = -0.766 eV per atom
uncorrected energy = -5.32 eV per atom
density = 7.28 g/cm3
energy relative to the lowest polymorph listed for this composition = 0 meV per atom

(4)
Material: Nd2SnGe2
Method: DFT, PBE-GGA
State: optimized geometry

Structure (POSCAR):
```
Nd2SnGe2
1.0
7.6038 0.0000 0.0000
0.0000 7.6038 0.0000
0.0000 0.0000 4.3713
Nd Sn Ge
4 2 4
Direct
0.1807 0.3193 0.0000
0.3193 0.8193 0.0000
0.6807 0.1807 0.0000
0.8193 0.6807 0.0000
0.0000 0.0000 0.5000
0.5000 0.5000 0.5000
0.1187 0.6187 0.5000
0.3813 0.1187 0.5000
0.6187 0.8813 0.5000
0.8813 0.3813 0.5000
```

Summary:
energy relative to the elements = -0.753 eV per atom
uncorrected energy = -5.31 eV per atom
density = 7.26 g/cm3
energy relative to the lowest polymorph listed for this composition = 13 meV per atom

(5)
Material: Nd8SnGe5
Method: DFT, PBE-GGA
State: optimized geometry

Structure (POSCAR):
```
Nd8SnGe5
1.0
-4.6367 4.6367 4.6173
4.6367 -4.6367 4.6173
4.6367 4.6367 -4.6173
Nd Sn Ge
8 1 5
Direct
0.1255 0.2482 0.7485
0.1291 0.7380 0.7434
0.2620 0.0055 0.3912
0.4997 0.3769 0.2515
0.6143 0.8709 0.6088
0.6231 0.8745 0.1228
0.7518 0.5003 0.8772
0.9945 0.3857 0.2566
0.0000 0.0000 0.0000
0.2479 0.6244 0.1241
0.3756 0.4997 0.6235
0.5003 0.1238 0.8759
0.7500 0.2500 0.5000
0.8762 0.7521 0.3765
```

Summary:
energy relative to the elements = -0.794 eV per atom
uncorrected energy = -5.45 eV per atom
density = 6.84 g/cm3

(6)
Material: Nd2Sn3Ge
Method: DFT, PBE-GGA
State: optimized geometry

Structure (POSCAR):
```
Nd2Sn3Ge
1.0
7.3380 -3.2676 0.0000
7.3380 3.2676 0.0000
-2.0609 0.0000 6.9006
Nd Sn Ge
4 6 2
Direct
0.1423 0.1481 0.0608
0.1481 0.1423 0.5608
0.8519 0.8577 0.4392
0.8577 0.8519 0.9392
0.2925 0.7075 0.7500
0.3434 0.3460 0.4211
0.3460 0.3434 0.9211
0.6540 0.6566 0.0789
0.6566 0.6540 0.5789
0.7075 0.2925 0.2500
0.2798 0.7202 0.2500
0.7202 0.2798 0.7500
```

Summary:
energy relative to the elements = -0.364 eV per atom
uncorrected energy = -4.72 eV per atom
density = 7.20 g/cm3

(7)
Material: Nd4SnGeTe2
Method: DFT, PBE-GGA
State: optimized geometry

Structure (POSCAR):
```
Nd4SnGeTe2
1.0
-3.1543 3.1543 6.3491
3.1543 -3.1543 6.3491
3.1543 3.1543 -6.3491
Nd Sn Ge Te
4 1 1 2
Direct
0.2391 0.2391 0.0000
0.5025 0.0025 0.5000
0.7609 0.7609 0.0000
0.9975 0.4975 0.5000
0.7500 0.2500 0.5000
0.0000 0.0000 0.0000
0.2500 0.7500 0.5000
0.5000 0.5000 0.0000
```

Summary:
uncorrected energy = -5.40 eV per atom
density = 6.73 g/cm3
E_form (uncorrected) = -1.158 eV per atom

(8)
Material: Nd6Sn2GeTe3
Method: DFT, PBE-GGA
State: optimized geometry

Structure (POSCAR):
```
Nd6Sn2GeTe3
1.0
9.8209 -2.2356 0.0000
9.8209 2.2356 0.0000
-2.1644 0.0000 8.7749
Nd Sn Ge Te
6 2 1 3
Direct
0.0012 0.0012 0.2310
0.3322 0.3322 0.4212
0.3411 0.3411 0.9158
0.6589 0.6589 0.0842
0.6678 0.6678 0.5788
0.9988 0.9988 0.7690
0.1664 0.1664 0.3328
0.8336 0.8336 0.6672
0.5000 0.5000 0.0000
0.1682 0.1682 0.8346
0.5000 0.5000 0.5000
0.8318 0.8318 0.1654
```

Summary:
uncorrected energy = -5.37 eV per atom
density = 6.72 g/cm3
E_form (uncorrected) = -1.148 eV per atom

(9)
Material: SrNd2Ge6
Method: DFT, PBE-GGA
State: optimized geometry

Structure (POSCAR):
```
SrNd2Ge6
1.0
7.7411 0.0000 0.0000
-3.8706 6.7040 0.0000
0.0000 0.0000 4.1766
Sr Nd Ge
1 2 6
Direct
0.0000 0.0000 0.0000
0.3333 0.6667 0.0000
0.6667 0.3333 0.0000
0.0000 0.3373 0.5000
0.0000 0.6627 0.5000
0.3373 0.0000 0.5000
0.3373 0.3373 0.5000
0.6627 0.0000 0.5000
0.6627 0.6627 0.5000
```

Summary:
energy relative to the elements = -0.531 eV per atom
uncorrected energy = -4.86 eV per atom
density = 6.22 g/cm3

(10)
Material: SrNdGe
Method: DFT, PBE-GGA
State: optimized geometry

Structure (POSCAR):
```
SrNdGe
1.0
5.7933 -2.2573 0.0000
5.7933 2.2573 0.0000
-4.6363 0.0000 7.4313
Sr Nd Ge
2 2 2
Direct
0.1826 0.1826 0.0953
0.8174 0.8174 0.9047
0.4070 0.4070 0.6170
0.5930 0.5930 0.3830
0.1202 0.1202 0.6490
0.8798 0.8798 0.3510
```

Summary:
energy relative to the elements = -0.435 eV per atom
uncorrected energy = -4.12 eV per atom
density = 5.20 g/cm3

(11)
Material: Sr3Nd3Ge4
Method: DFT, PBE-GGA
State: optimized geometry

Structure (POSCAR):
```
Sr3Nd3Ge4
1.0
4.5016 0.0000 0.0000
0.0000 5.6378 5.7532
0.0000 -5.6378 5.7532
Sr Nd Ge
3 3 4
Direct
0.0000 0.0000 0.0000
0.5000 0.3224 0.8283
0.5000 0.8283 0.3224
0.0000 0.1546 0.5022
0.0000 0.5022 0.1546
0.0000 0.6525 0.6525
0.5000 0.2231 0.2231
0.5000 0.4459 0.4459
0.5000 0.7012 0.9344
0.5000 0.9344 0.7012
```

Summary:
energy relative to the elements = -0.606 eV per atom
uncorrected energy = -4.39 eV per atom
density = 5.61 g/cm3

(12)
Material: SrNdGe
Method: DFT, PBE-GGA
State: optimized geometry

Structure (POSCAR):
```
SrNdGe
1.0
0.0000 3.6878 3.6878
3.6878 0.0000 3.6878
3.6878 3.6878 0.0000
Sr Nd Ge
1 1 1
Direct
0.0000 0.0000 0.0000
0.5000 0.5000 0.5000
0.7500 0.7500 0.7500
```

Summary:
energy relative to the elements = -0.432 eV per atom
uncorrected energy = -4.12 eV per atom
density = 5.04 g/cm3